VBiCl: optimized geometry, GGA-PBE.

Cell lengths 13.8760, 3.1728, 7.8362 Å; angles 90.00, 90.00, 90.00 degrees
Space group Pnma (No. 62)
Unique sites:
V 0.0501 0.2500 0.0875 (multiplicity 4)
Bi 0.0937 0.7500 0.3885 (multiplicity 4)
Cl 0.1189 0.7500 0.9055 (multiplicity 4)

E_form (uncorrected), meV/atom: -262